No. 1
Computed, not measured: a relaxed Co2HRuPt crystal at the PBE-GGA level of DFT.

## Properties
symmetry: P4/mmm, No. 123
ρ: 12.70 g/cm3
energy above the lowest structure with this stoichiometry: 0.00 eV/f.u.
magnetization: 0.8571 μB per atom

a = 3.808 Å, b = 3.808 Å, c = 3.740 Å
α = 90.00°, β = 90.00°, γ = 90.00°
Element x y z (fractional)
Ru: 0.000 0.000 0.500
Co: 0.000 0.500 0.000
Co: 0.500 0.000 0.000
Pt: 0.500 0.500 0.500
H: 0.000 0.000 0.000

No. 2
Computed, not measured: a relaxed PmInCuIr crystal at the PBE-GGA level of DFT.

## Properties
symmetry: F-43m, No. 216
ρ: 10.87 g/cm3
magnetization: 0.0000 μB per atom
energy relative to the elements: -0.291 eV per atom

a = 4.811 Å, b = 4.811 Å, c = 4.811 Å
α = 60.00°, β = 60.00°, γ = 60.00°
Element x y z (fractional)
Ir: 0.750 0.750 0.750
In: 0.500 0.500 0.500
Cu: 0.250 0.250 0.250
Pm: 0.000 0.000 0.000

No. 3
Computed, not measured: a relaxed CaSn3Pd12 crystal at the PBE-GGA level of DFT.

## Properties
symmetry: P4/mmm, No. 123
ρ: 10.38 g/cm3
magnetization: 0.0000 μB per atom
energy relative to the elements: -0.506 eV per atom

a = 4.070 Å, b = 4.070 Å, c = 16.163 Å
α = 90.00°, β = 90.00°, γ = 90.00°
Element x y z (fractional)
Ca: 0.000 0.000 0.000
Sn: 0.000 0.000 0.252
Sn: 0.000 0.000 0.500
Sn: 0.000 0.000 0.748
Pd: 0.500 0.500 0.000
Pd: 0.500 0.500 0.255
Pd: 0.500 0.500 0.500
Pd: 0.500 0.500 0.745
Pd: 0.500 0.000 0.132
Pd: 0.500 0.000 0.377
Pd: 0.500 0.000 0.623
Pd: 0.500 0.000 0.868
Pd: 0.000 0.500 0.132
Pd: 0.000 0.500 0.377
Pd: 0.000 0.500 0.623
Pd: 0.000 0.500 0.868

No. 4
Computed, not measured: a relaxed KLiCr2 crystal at the PBE-GGA level of DFT.

## Properties
symmetry: Pmmm, No. 47
ρ: 2.86 g/cm3
energy above the lowest structure with this stoichiometry: 1.27 eV/f.u.
magnetization: 0.0425 μB per atom
energy relative to the elements: 0.932 eV per atom

a = 3.235 Å, b = 4.753 Å, c = 5.655 Å
α = 90.00°, β = 90.00°, γ = 90.00°
Element x y z (fractional)
Cr: 0.000 0.000 0.000
Cr: 0.500 0.500 0.000
K: 0.500 0.000 0.500
Li: 0.000 0.500 0.500